Below is Pm4SmEr3 after structural relaxation, with properties calculated at the PBE level.

**DOS(E_F)**: 1.557 states/eV/atom
**E above lowest polymorph**: 142 kJ/mol of formula units
**Formation energy**: 0.21 eV per atom
**Theoretical density**: 7.6 g/cm³

abc: 5.7090 3.6136 13.3180
angles: 89.96 102.38 90.00
Fractional positions:
Er 0.0000 0.5000 0.0000
Er 0.8482 0.0001 0.6963
Er 0.1518 0.9999 0.3037
Sm 0.5000 0.0000 0.0000
Pm 0.6043 0.4993 0.2087
Pm 0.3957 0.5007 0.7913
Pm 0.2761 0.4995 0.5522
Pm 0.7239 0.5005 0.4478

Below is PmSm3Er3 after structural relaxation, with properties calculated at the PBE level.

**DOS(E_F)**: 1.513 states/eV/atom
**E above lowest polymorph**: 124 kJ/mol of formula units
**Formation energy**: 0.20 eV per atom
**Theoretical density**: 7.7 g/cm³

abc: 8.8562 8.8562 8.8562
angles: 58.58 58.58 58.58
Fractional positions:
Pm 0.3458 0.3458 0.3458
Pm 0.6542 0.6542 0.6542
Sm 0.7210 0.5670 0.0691
Sm 0.0691 0.7210 0.5670
Sm 0.5670 0.0691 0.7210
Sm 0.4330 0.9309 0.2790
Sm 0.9309 0.2790 0.4330
Sm 0.2790 0.4330 0.9309
Er 0.7152 0.1728 0.9366
Er 0.1728 0.9366 0.7152
Er 0.9366 0.7152 0.1728
Er 0.0634 0.2848 0.8272
Er 0.8272 0.0634 0.2848
Er 0.2848 0.8272 0.0634

Below is PmSm8Er2 after structural relaxation, with properties calculated at the PBE level.

**DOS(E_F)**: 1.461 states/eV/atom
**E above lowest polymorph**: 0 kJ/mol of formula units
**Formation energy**: 0.02 eV per atom
**Theoretical density**: 7.7 g/cm³

abc: 11.4065 15.7148 15.7167
angles: 22.94 160.59 150.50
Fractional positions:
Pm 0.0000 0.0000 0.0000
Sm 0.5480 0.9097 0.2737
Sm 0.1833 0.6360 0.0926
Sm 0.6369 0.7270 0.8188
Sm 0.3631 0.2730 0.1812
Sm 0.8167 0.3640 0.9074
Sm 0.4520 0.0903 0.7263
Sm 0.2738 0.4530 0.6381
Sm 0.7262 0.5470 0.3619
Er 0.0896 0.8185 0.5441
Er 0.9104 0.1815 0.4559

Below is Pm5Sm2Er6 after structural relaxation, with properties calculated at the PBE level.

**DOS(E_F)**: 1.227 states/eV/atom
**Formation energy**: 0.10 eV per atom
**Theoretical density**: 7.9 g/cm³

abc: 3.5882 11.6719 20.4627
angles: 90.00 90.00 90.00
Fractional positions:
Pm 0.5000 0.3002 0.4504
Pm 0.5000 0.6998 0.5496
Pm 0.5000 0.8002 0.0496
Pm 0.5000 0.1998 0.9504
Pm 0.5000 0.5848 0.2748
Pm 0.5000 0.4152 0.7252
Pm 0.5000 0.0848 0.2252
Pm 0.5000 0.9152 0.7748
Pm 0.5000 0.5000 0.0000
Pm 0.5000 0.0000 0.5000
Sm 0.0000 0.3283 0.2873
Sm 0.0000 0.6717 0.7127
Sm 0.0000 0.8283 0.2127
Sm 0.0000 0.1717 0.7873
Er 0.0000 0.0789 0.3679
Er 0.0000 0.9211 0.6321
Er 0.0000 0.5789 0.1321
Er 0.0000 0.4211 0.8679
Er 0.5000 0.3222 0.1339
Er 0.5000 0.6778 0.8661
Er 0.5000 0.8222 0.3661
Er 0.5000 0.1778 0.6339
Er 0.0000 0.5603 0.4202
Er 0.0000 0.4397 0.5798
Er 0.0000 0.0603 0.0798
Er 0.0000 0.9397 0.9202

Below is Pm5Sm2Er after structural relaxation, with properties calculated at the PBE level.

**DOS(E_F)**: 1.593 states/eV/atom
**E above lowest polymorph**: 43 kJ/mol of formula units
**Formation energy**: 0.12 eV per atom
**Theoretical density**: 7.2 g/cm³

abc: 5.6372 6.6245 16.3347
angles: 90.00 90.00 115.18
Fractional positions:
Pm 0.9230 0.8461 0.9077
Pm 0.9230 0.8461 0.5923
Pm 0.3820 0.7641 0.4482
Pm 0.3820 0.7641 0.0518
Pm 0.5387 0.0775 0.2500
Pm 0.4613 0.9225 0.7500
Pm 0.6180 0.2359 0.5518
Pm 0.6180 0.2359 0.9482
Pm 0.0770 0.1539 0.0923
Pm 0.0770 0.1539 0.4077
Sm 0.7761 0.5521 0.3686
Sm 0.7761 0.5521 0.1314
Sm 0.2239 0.4479 0.6314
Sm 0.2239 0.4479 0.8686
Er 0.7401 0.4803 0.7500
Er 0.2599 0.5197 0.2500

Below is PmSm6Er after structural relaxation, with properties calculated at the PBE level.

**DOS(E_F)**: 1.655 states/eV/atom
**E above lowest polymorph**: 2 kJ/mol of formula units
**Formation energy**: 0.02 eV per atom
**Theoretical density**: 7.6 g/cm³

abc: 5.1116 5.1116 10.2123
angles: 90.00 90.00 90.00
Fractional positions:
Pm 0.0000 0.0000 0.0000
Sm 0.5000 0.5000 0.0000
Sm 0.5000 0.5000 0.5000
Sm 0.5000 0.0000 0.2521
Sm 0.5000 0.0000 0.7479
Sm 0.0000 0.5000 0.2521
Sm 0.0000 0.5000 0.7479
Er 0.0000 0.0000 0.5000

Below is PmSmEr4 after structural relaxation, with properties calculated at the PBE level.

**DOS(E_F)**: 2.714 states/eV/atom
**E above lowest polymorph**: 158 kJ/mol of formula units
**Formation energy**: 0.29 eV per atom
**Theoretical density**: 7.9 g/cm³

abc: 6.5841 6.5841 6.5841
angles: 60.00 60.00 60.00
Fractional positions:
Pm 0.2500 0.2500 0.2500
Sm 0.0000 0.0000 0.0000
Er 0.6251 0.6251 0.1248
Er 0.6251 0.1248 0.6251
Er 0.6251 0.6251 0.6251
Er 0.1248 0.6251 0.6251

Below is Pm7Sm2Er after structural relaxation, with properties calculated at the PBE level.

**DOS(E_F)**: 1.448 states/eV/atom
**E above lowest polymorph**: 0 kJ/mol of formula units
**Formation energy**: 0.38 eV per atom
**Theoretical density**: 6.9 g/cm³

abc: 3.5430 10.3165 10.3165
angles: 108.79 90.00 90.00
Fractional positions:
Pm 0.0000 0.6768 0.3232
Pm 0.0000 0.3232 0.6768
Pm 0.5000 0.1281 0.3816
Pm 0.5000 0.8719 0.6184
Pm 0.5000 0.3816 0.1281
Pm 0.5000 0.6184 0.8719
Pm 0.5000 0.5000 0.5000
Sm 0.5000 0.8311 0.1689
Sm 0.5000 0.1689 0.8311
Er 0.0000 0.0000 0.0000

Below is PmSmEr2 after structural relaxation, with properties calculated at the PBE level.

**DOS(E_F)**: 1.426 states/eV/atom
**E above lowest polymorph**: 1 kJ/mol of formula units
**Formation energy**: 0.02 eV per atom
**Theoretical density**: 8.1 g/cm³

abc: 3.5915 3.5915 11.7488
angles: 81.21 81.21 60.00
Fractional positions:
Pm 0.5005 0.5005 0.4985
Sm 0.6664 0.6664 0.0007
Er 0.0827 0.0827 0.7518
Er 0.2503 0.2503 0.2490

Below is Pm9SmEr2 after structural relaxation, with properties calculated at the PBE level.

**DOS(E_F)**: 1.618 states/eV/atom
**Formation energy**: 0.02 eV per atom
**Theoretical density**: 7.4 g/cm³

abc: 5.1232 5.1232 15.3692
angles: 90.00 90.00 90.00
Fractional positions:
Pm 0.5000 0.5000 0.0000
Pm 0.5000 0.5000 0.3347
Pm 0.5000 0.5000 0.6653
Pm 0.5000 0.0000 0.1683
Pm 0.5000 0.0000 0.5000
Pm 0.5000 0.0000 0.8317
Pm 0.0000 0.5000 0.1683
Pm 0.0000 0.5000 0.5000
Pm 0.0000 0.5000 0.8317
Sm 0.0000 0.0000 0.0000
Er 0.0000 0.0000 0.3343
Er 0.0000 0.0000 0.6657

Below is PmSm5Er after structural relaxation, with properties calculated at the PBE level.

**DOS(E_F)**: 1.288 states/eV/atom
**E above lowest polymorph**: 0 kJ/mol of formula units
**Formation energy**: 0.17 eV per atom
**Theoretical density**: 7.5 g/cm³

abc: 6.8800 6.8800 13.7851
angles: 61.66 61.66 59.91
Fractional positions:
Pm 0.0000 0.0000 0.0000
Pm 0.0000 0.0000 0.5000
Sm 0.1652 0.3937 0.7516
Sm 0.6577 0.6882 0.4989
Sm 0.3937 0.1652 0.2516
Sm 0.1714 0.8286 0.7500
Sm 0.3118 0.3423 0.0011
Sm 0.6882 0.6577 0.9989
Sm 0.8286 0.1714 0.2500
Sm 0.6063 0.8348 0.7484
Sm 0.3423 0.3118 0.5011
Sm 0.8348 0.6063 0.2484
Er 0.7249 0.2751 0.7500
Er 0.2751 0.7249 0.2500

Below is PmSm2Er5 after structural relaxation, with properties calculated at the PBE level.

**DOS(E_F)**: 1.510 states/eV/atom
**E above lowest polymorph**: 120 kJ/mol of formula units
**Formation energy**: 0.18 eV per atom
**Theoretical density**: 8.3 g/cm³

abc: 9.8481 6.4602 10.8578
angles: 119.56 116.97 90.00
Fractional positions:
Pm 0.0000 0.0000 0.5000
Pm 0.5000 0.5000 0.5000
Sm 0.1773 0.4608 0.8462
Sm 0.6688 0.9608 0.8462
Sm 0.8227 0.5392 0.1538
Sm 0.3312 0.0392 0.1538
Er 0.4917 0.4439 0.8018
Er 0.9435 0.7500 0.0000
Er 0.0565 0.2500 0.0000
Er 0.8933 0.6289 0.6083
Er 0.1067 0.3711 0.3917
Er 0.7150 0.1289 0.6083
Er 0.2850 0.8711 0.3917
Er 0.5083 0.5561 0.1982
Er 0.3101 0.9439 0.8018
Er 0.6899 0.0561 0.1982

Below is Pm5Sm4Er4 after structural relaxation, with properties calculated at the PBE level.

**DOS(E_F)**: 1.375 states/eV/atom
**Formation energy**: 0.02 eV per atom
**Theoretical density**: 7.7 g/cm³

abc: 5.0722 9.5353 9.5352
angles: 85.94 74.58 74.58
Fractional positions:
Pm 0.6922 0.8476 0.7681
Pm 0.3078 0.1524 0.2319
Pm 0.0000 0.0000 0.0000
Pm 0.5398 0.7681 0.1524
Pm 0.4602 0.2319 0.8476
Sm 0.9232 0.4603 0.6933
Sm 0.6165 0.3067 0.4603
Sm 0.0768 0.5397 0.3067
Sm 0.3835 0.6933 0.5397
Er 0.7682 0.3863 0.0773
Er 0.2318 0.6137 0.9227
Er 0.8455 0.9227 0.3863
Er 0.1545 0.0773 0.6137

Below is PmSm6Er4 after structural relaxation, with properties calculated at the PBE level.

**DOS(E_F)**: 1.604 states/eV/atom
**E above lowest polymorph**: 210 kJ/mol of formula units
**Formation energy**: 0.31 eV per atom
**Theoretical density**: 7.6 g/cm³

abc: 6.6223 6.6223 9.7830
angles: 109.78 109.78 90.00
Fractional positions:
Pm 0.5000 0.5000 0.0000
Sm 0.8650 0.4874 0.3524
Sm 0.4874 0.8650 0.3524
Sm 0.5126 0.5126 0.6476
Sm 0.0000 0.5000 0.0000
Sm 0.1350 0.1350 0.6476
Sm 0.5000 0.0000 0.0000
Er 0.0510 0.6916 0.7427
Er 0.9490 0.9490 0.2573
Er 0.6916 0.0510 0.7427
Er 0.3084 0.3084 0.2573

Below is Pm2Sm5Er2 after structural relaxation, with properties calculated at the PBE level.

**DOS(E_F)**: 1.357 states/eV/atom
**E above lowest polymorph**: 0 kJ/mol of formula units
**Formation energy**: 0.01 eV per atom
**Theoretical density**: 7.7 g/cm³

abc: 3.5987 14.8642 15.7169
angles: 23.34 103.29 111.30
Fractional positions:
Pm 0.3317 0.0002 0.3317
Pm 0.6683 0.9998 0.6683
Sm 0.2248 0.3346 0.2221
Sm 0.7752 0.6654 0.7779
Sm 0.5572 0.3362 0.5528
Sm 0.4428 0.6638 0.4472
Sm 0.0000 0.0000 0.0000
Er 0.8874 0.3330 0.8886
Er 0.1126 0.6670 0.1114

Below is PmSm12Er5 after structural relaxation, with properties calculated at the PBE level.

**DOS(E_F)**: 1.459 states/eV/atom
**Formation energy**: 0.09 eV per atom
**Theoretical density**: 7.8 g/cm³

abc: 12.1035 10.4335 5.7502
angles: 90.01 90.01 54.55
Fractional positions:
Pm 0.0000 0.0000 0.0000
Sm 0.7970 0.0000 0.5096
Sm 0.2031 0.0000 0.4904
Sm 0.6979 0.0000 0.0093
Sm 0.3021 0.0000 0.9907
Sm 0.3300 0.6395 0.0011
Sm 0.0304 0.6395 0.9989
Sm 0.9696 0.3605 0.0011
Sm 0.6700 0.3605 0.9989
Sm 0.4699 0.3598 0.4990
Sm 0.8297 0.6402 0.4990
Sm 0.1703 0.3598 0.5010
Sm 0.5301 0.6402 0.5010
Er 0.5000 0.0000 0.5000
Er 0.1370 0.7259 0.5000
Er 0.8630 0.2741 0.5000
Er 0.6362 0.7275 0.0000
Er 0.3638 0.2725 0.0000

Below is Pm2Sm5Er5 after structural relaxation, with properties calculated at the PBE level.

**DOS(E_F)**: 1.419 states/eV/atom
**Formation energy**: 0.02 eV per atom
**Theoretical density**: 8.0 g/cm³

abc: 5.0556 8.0065 10.7490
angles: 72.69 76.40 71.60
Fractional positions:
Pm 0.9171 0.4175 0.7484
Pm 0.0829 0.5825 0.2516
Sm 0.5000 0.5000 0.5000
Sm 0.3342 0.3323 0.9993
Sm 0.4149 0.9192 0.2510
Sm 0.5851 0.0808 0.7490
Sm 0.6658 0.6677 0.0007
Er 0.8314 0.8362 0.5010
Er 0.2497 0.7516 0.7489
Er 0.7503 0.2484 0.2511
Er 0.1686 0.1638 0.4990
Er 0.0000 0.0000 0.0000

Below is Pm3Sm7Er2 after structural relaxation, with properties calculated at the PBE level.

**DOS(E_F)**: 1.681 states/eV/atom
**E above lowest polymorph**: 228 kJ/mol of formula units
**Formation energy**: 0.29 eV per atom
**Theoretical density**: 7.1 g/cm³

abc: 6.5836 6.5836 11.9335
angles: 73.99 73.99 60.00
Fractional positions:
Pm 0.0000 0.0000 0.0000
Pm 0.1535 0.1535 0.5396
Pm 0.8465 0.8465 0.4604
Sm 0.5000 0.5000 0.5000
Sm 0.0802 0.5855 0.7488
Sm 0.5855 0.5855 0.7488
Sm 0.5855 0.0802 0.7488
Sm 0.9198 0.4145 0.2512
Sm 0.4145 0.9198 0.2512
Sm 0.4145 0.4145 0.2512
Er 0.3337 0.3337 0.9989
Er 0.6663 0.6663 0.0011

Below is PmSm5Er6 after structural relaxation, with properties calculated at the PBE level.

**DOS(E_F)**: 1.729 states/eV/atom
**Formation energy**: 0.10 eV per atom
**Theoretical density**: 8.1 g/cm³

abc: 10.1131 10.1131 5.8178
angles: 106.72 106.72 124.10
Fractional positions:
Er 0.4293 0.0708 0.2500
Er 0.9292 0.5707 0.7500
Er 0.2500 0.2500 0.7499
Er 0.7500 0.7500 0.2501
Er 0.0708 0.4293 0.2500
Er 0.5707 0.9292 0.7500
Sm 0.8457 0.1543 0.5000
Sm 0.6540 0.3460 0.0000
Sm 0.5000 0.5000 0.5000
Sm 0.3460 0.6540 0.0000
Sm 0.1543 0.8457 0.5000
Pm 0.0000 0.0000 0.0000

Below is Pm2Sm3Er3 after structural relaxation, with properties calculated at the PBE level.

**DOS(E_F)**: 1.704 states/eV/atom
**E above lowest polymorph**: 2 kJ/mol of formula units
**Formation energy**: 0.02 eV per atom
**Theoretical density**: 7.8 g/cm³

abc: 6.3134 5.7403 14.6133
angles: 90.00 90.00 90.01
Fractional positions:
Pm 0.8299 0.7505 0.8755
Pm 0.1701 0.2495 0.3755
Pm 0.8299 0.7505 0.6245
Pm 0.1701 0.2495 0.1245
Sm 0.8357 0.7494 0.3759
Sm 0.1643 0.2506 0.8759
Sm 0.8357 0.7494 0.1241
Sm 0.1643 0.2506 0.6241
Sm 0.6678 0.2492 0.2500
Sm 0.3322 0.7508 0.7500
Er 0.6643 0.2499 0.5004
Er 0.3357 0.7501 0.0004
Er 0.6643 0.2499 0.9996
Er 0.3357 0.7501 0.4996
Er 0.3384 0.7493 0.2500
Er 0.6616 0.2507 0.7500